Entry w
Compound: Tc3Os
Source: the Alexandria database
Functional: PBEsol
Structure: relaxed

As for the size of the total moment: 0.0 μB per cell.

a = 2.7264 Å, b = 2.7264 Å, c = 8.6601 Å
α = 90.00°, β = 90.00°, γ = 120.00°
Space group P-6m2 (No. 187)
Unique sites:
Tc 0.0000 0.0000 0.0000
Tc 0.6667 0.3333 0.2506
Os 0.0000 0.0000 0.5000

Entry x
Compound: Tc3Os
Source: the Alexandria database
Functional: PBEsol
Structure: relaxed

As for the size of the total moment: 0.0 μB per cell.

a = 5.4525 Å, b = 5.4525 Å, c = 8.6731 Å
α = 90.00°, β = 90.00°, γ = 120.00°
Space group P6_3/mmc (No. 194)
Unique sites:
Tc 0.0000 0.5000 0.0000
Tc 0.1674 0.3349 0.2500
Os 0.0000 0.0000 0.0000
Os 0.3333 0.6667 0.7500

Short version: entry x is the least stable of them.